Density functional theory data (GGA-PBE) for a relaxed structure of Ag2Te4Pt.

```
14
Lattice="-0.212 -6.615 4.799 1.667 -7.594 -3.430 7.122 -4.514 1.057" Properties=species:S:1:pos:R:3 pbc="T T T"
Te 2.034 -4.710 0.561
Te 6.593 -10.671 -0.491
Te 6.058 -7.233 0.909
Te 5.957 -10.383 3.194
Te 2.620 -8.340 -0.769
Te 1.984 -8.051 2.916
Te 2.519 -11.489 1.516
Te 6.543 -14.013 1.864
Pt 0.834 -3.797 -1.715
Pt 0.727 -7.104 0.684
Ag 4.867 -4.740 0.645
Ag -0.106 -3.307 2.400
Ag 4.288 -9.361 1.213
Ag 3.710 -13.983 1.780
```

Space-group type ... No. 74
E_form (uncorrected) ... -0.1105 eV/atom
Raw total energy ... -3.5834 eV per atom
Crystal system ... orthorhombic
DOS at the Fermi energy ... 7.1 states/eV per cell
Calculated volume ... 401.7 Å³/cell